4
Lattice="9.5423 0.0381 0.0225 8.9534 3.3006 0.0225 8.9534 1.6162 2.8779" Properties=species:S:1:pos:R:3 comment="AlMoBr2 PBE-GGA optimized geometry" e_tot_ev_per_cell=-18.8 polymorph_energy_kj_per_mol_atoms=0.0 e_form_raw_ev_per_atom=-0.210 pbc="T T T"
Br 6.1085 1.1026 0.6504
Br 0.6965 0.1257 0.0742
Al 20.7858 3.7521 2.2133
Mo 13.5830 2.4519 1.4463

12
Lattice="-1.6974 -0.9959 4.9420 1.9591 -7.9436 1.9349 5.3862 0.6920 4.8522" Properties=species:S:1:pos:R:3 comment="Er7CdIr4 PBE-GGA optimized geometry" e_tot_ev_per_cell=-74.6 formation_energy_ev_per_atom=-0.52 pbc="T T T"
Ir 2.7071 -6.3851 5.3687
Ir 0.5142 -2.9569 2.4436
Ir 2.9408 -1.8624 6.3604
Ir 5.1336 -5.2906 9.2856
Er 1.0639 -3.4936 5.3871
Er 3.3870 -3.2595 9.0950
Er 2.2916 -0.9051 3.4675
Er -0.8487 -0.4980 2.4710
Er 4.5839 -4.7539 6.3421
Er 3.3563 -7.3424 8.2616
Er 2.2608 -4.9879 2.6342
Cd 0.0000 0.0000 0.0000

8
Lattice="-3.6261 2.4649 -6.7974 -0.7000 -2.6993 -0.6054 -3.6984 0.2267 3.2651" Properties=species:S:1:pos:R:3 comment="MnSiNiAu PBE-GGA optimized geometry" e_tot_ev_per_cell=-48.0 polymorph_energy_kj_per_mol_atoms=11.1 e_form_raw_ev_per_atom=-0.088 pbc="T T T"
Si -0.9795 -1.0578 -0.8760
Si -2.4787 0.4052 1.0593
Au -4.8288 1.6334 -1.6997
Au -3.3297 0.1704 -3.6349
Ni -2.2277 0.8413 -1.1752
Ni -4.4269 -0.3950 0.1547
Mn -3.7325 2.2001 -5.4940
Mn -5.9317 0.9639 -4.1641

80
Lattice="-11.2453 -6.0312 3.0098 7.9176 -8.3789 -6.2448 5.8175 4.1404 10.9957" Properties=species:S:1:pos:R:3 comment="Dy12H5Pd3 PBE-GGA optimized geometry" e_tot_ev_per_cell=-383.3 pbc="T T T"
H 6.7141 -5.4854 -0.1840
H -1.5104 -3.8389 0.9419
H 3.7937 -2.0621 5.2829
H 6.8676 -2.1192 2.3754
H -1.6639 -7.2050 -1.6175
H 4.0002 -6.4308 6.8187
H -2.7139 -0.9454 7.0027
H 2.9088 2.0702 5.4978
H 3.9588 -4.1894 -3.1224
H 0.0000 0.0000 0.0000
H 1.1358 -0.2037 8.5948
H 3.0178 -2.8609 0.7833
H 1.2449 -5.1348 3.8803
H -4.2243 -4.7842 7.9446
H -1.3039 -8.2075 2.4777
H -2.3540 -1.9479 11.0979
H 1.3539 -10.0659 -0.8342
H -5.6227 -3.0156 1.5049
H -0.5280 -7.4088 6.9773
H 4.8438 -8.3217 -3.3373
Dy 8.3152 -6.5830 -1.1401
Dy 5.3189 -3.1037 4.1554
Dy -1.1543 -3.5954 10.3707
Dy -0.5436 -5.3145 -0.3111
Dy -0.1575 -0.9408 7.0243
Dy 1.9522 -3.1937 5.3862
Dy -0.5281 -5.7174 5.6276
Dy 1.6622 -1.3063 1.4376
Dy 4.6665 -1.7605 7.2399
Dy 3.2373 -0.1905 4.3502
Dy -6.9733 -5.1808 1.6589
Dy -4.2736 -2.6142 11.8421
Dy 3.0179 -4.5522 2.1330
Dy -2.5955 -1.3491 4.4810
Dy 4.2878 2.1073 10.7455
Dy 0.6416 -8.2873 -1.8399
Dy 2.4368 -3.6852 -1.1311
Dy -2.1767 -8.5092 0.5207
Dy 8.0066 -7.2559 3.7014
Dy 7.6745 -0.1808 6.4238
Dy -0.7475 -10.0791 3.4104
Dy 5.1055 -6.7888 0.4451
Dy 5.9957 -5.8205 6.2460
Dy -2.8291 -7.1659 3.6052
Dy 5.0853 -8.9205 3.2796
Dy 0.0530 -6.5844 8.8918
Dy -5.5168 -3.0137 4.0592
Dy -2.6157 -3.4808 7.3156
Dy -5.1847 -10.0889 1.3368
Dy -1.7981 -12.3770 -2.9848
Dy -4.8854 -5.7576 6.1286
Dy 7.3752 -4.5120 1.6320
Dy -0.2739 -11.2549 -0.0476
Dy 0.5376 -7.0759 2.3744
Dy -3.5059 -4.4491 1.5146
Dy -5.8254 -3.6866 8.9008
Dy 2.7637 0.9853 7.8082
Dy 2.6473 -9.3288 0.7363
Dy 3.0333 -4.9551 8.0717
Dy 8.7807 -2.3388 4.0570
Dy -0.4625 -3.5587 2.8143
Dy -6.2909 -7.9308 3.7036
Dy 0.8276 -8.9633 6.3231
Dy 1.8482 -1.9824 9.6005
Dy 3.6440 -6.6743 -2.6101
Dy 9.4631 -5.0889 6.1017
Dy 6.7633 -7.6555 -4.0814
Dy 2.9523 -6.7110 4.9463
Pd 2.1859 -6.4634 -0.0254
Pd -4.7377 -7.1479 1.2900
Pd -7.3956 -5.2895 4.6019
Pd 5.3571 -5.9581 3.3174
Pd 2.1298 -9.2671 3.6654
Pd 7.2275 -3.1217 6.4707
Pd 0.3039 -3.8062 7.7861
Pd -2.8674 -4.3115 4.4433
Pd 5.6641 0.7743 8.4362
Pd 0.3599 -1.0025 4.0952
Pd -3.1743 -11.0439 -0.6756
Pd 9.8854 -4.9801 3.1588

4
Lattice="-2.8292 -3.5368 0.2451 0.8451 -0.9774 -4.3478 4.6410 -3.5940 1.7101" Properties=species:S:1:pos:R:3 comment="CaSb2Br PBE-GGA optimized geometry" e_tot_ev_per_cell=-13.9 polymorph_energy_kj_per_mol_atoms=31.9 e_form_raw_ev_per_atom=-0.506 pbc="T T T"
Sb 4.5086 -3.4915 1.6613
Sb 2.4529 -1.8995 0.9038
Ca 2.4887 -4.9526 -0.7688
Br 0.1682 -3.1556 -1.6238

5
Lattice="-0.6062 -4.3411 -1.7986 2.0965 -1.7850 3.6015 -4.1569 -0.3502 2.2463" Properties=species:S:1:pos:R:3 comment="Nb2AlTcAs PBE-GGA optimized geometry" e_tot_ev_per_cell=-35.4 formation_energy_ev_per_atom=0.70 pbc="T T T"
Tc 1.0483 -0.8925 1.8008
Nb -0.3031 -2.1706 -0.8993
Nb -2.0784 -0.1751 1.1231
Al -1.3333 -3.2381 2.0246
As 0.0000 0.0000 0.0000

4
Lattice="3.0817 0.0000 0.0000 0.0000 3.0817 0.0000 0.0000 0.0000 8.6317" Properties=species:S:1:pos:R:3 comment="YTa2Au PBE-GGA optimized geometry" e_tot_ev_per_cell=-33.3 formation_energy_ev_per_atom=0.03 polymorph_energy_kj_per_mol_atoms=7.6 pbc="T T T"
Au 1.5409 1.5409 6.6682
Y 0.0000 0.0000 4.3704
Ta 1.5409 1.5409 1.9709
Ta 0.0000 0.0000 8.5697

80
Lattice="17.2176 0.0000 0.0000 -5.7392 16.2329 0.0000 -5.7392 -8.1165 14.0581" Properties=species:S:1:pos:R:3 comment="Ba12Pd5I3 PBE-GGA optimized geometry" e_tot_ev_per_cell=-254.6 e_form_raw_ev_per_atom=-0.498 pbc="T T T"
I 10.0436 5.0728 1.7573
I 12.9132 0.0000 3.5145
I -7.1740 8.1165 10.5436
I -4.3044 3.0437 12.3009
I 1.4348 -1.0146 5.2718
I -4.3044 -3.0437 12.3009
I 7.1740 1.0146 5.2718
I 10.0436 11.1601 1.7573
I 1.4348 8.1165 3.5145
I -1.4348 7.1019 8.7863
I 4.3044 9.1310 8.7863
I 4.3044 0.0000 10.5436
Ba -0.9172 5.9288 1.2244
Ba -0.6192 1.2450 2.8572
Ba 8.7651 4.5628 5.4543
Ba -1.9524 -0.0335 11.5514
Ba 7.1194 -1.4994 8.3114
Ba -4.3590 13.8430 1.5748
Ba 3.0259 -2.9467 8.2534
Ba 11.6347 -3.5536 8.6038
Ba 0.1563 5.1697 5.8047
Ba -2.2504 -0.9614 6.6786
Ba 7.6916 8.1499 2.5068
Ba 2.7133 11.0632 5.8047
Ba -7.1194 4.2270 9.8862
Ba 7.2286 2.3900 1.5748
Ba 7.9896 9.0778 7.3795
Ba -3.4888 9.3614 11.2009
Ba 2.2504 5.9101 9.5358
Ba -3.0259 3.5537 8.6038
Ba 1.9524 2.1542 12.7757
Ba 9.2280 -1.2450 2.8572
Ba 3.4888 2.2063 4.5223
Ba 5.5829 2.9467 8.2534
Ba 10.8592 0.9614 6.6786
Ba -0.9172 10.2706 1.2824
Ba 6.6564 -2.1542 12.7757
Ba -6.6564 0.0335 11.5514
Ba 4.2498 6.6170 5.7467
Ba 6.6564 2.1877 12.8337
Ba -1.3802 9.6159 5.7467
Ba -1.4894 -4.2271 9.8862
Ba 12.8586 3.8894 4.1719
Ba 3.7868 5.9623 1.2824
Ba -5.5830 6.5004 13.7077
Ba 1.4894 1.4995 8.3114
Ba -5.8955 11.6701 5.4543
Ba 8.7651 14.6168 0.3504
Ba 3.7868 10.3041 1.2244
Ba 11.3222 1.6161 0.3504
Ba 6.3584 6.8715 11.2009
Ba -5.1200 7.1551 7.3795
Ba 12.3956 8.0830 2.5068
Ba 5.1200 -2.2063 4.5223
Ba 7.2286 12.3435 4.1719
Ba -3.0259 -6.5004 13.7077
Ba -1.4894 5.7265 12.4833
Ba 0.6192 10.3228 9.5358
Ba 10.0982 -5.7265 12.4833
Ba 1.9524 -2.1877 12.8337
Pd -1.4348 4.0582 3.5145
Pd 7.1740 7.1019 5.2718
Pd -2.8696 -4.0582 7.0291
Pd 8.6088 0.0000 0.0000
Pd 2.8696 4.0582 7.0291
Pd 4.3044 12.1747 3.5145
Pd 5.7392 -4.0582 7.0291
Pd -4.3044 9.1310 5.2718
Pd -1.4348 13.1892 1.7573
Pd 7.1740 4.0582 10.5436
Pd 0.0000 0.0000 0.0000
Pd 7.1740 -5.0728 12.3009
Pd -5.7392 4.0582 7.0291
Pd 1.4348 -4.0582 10.5436
Pd 1.4348 5.0728 12.3009
Pd 4.3044 3.0437 1.7573
Pd -1.4348 1.0146 8.7863
Pd -2.8696 8.1165 0.0000
Pd 5.7392 8.1165 0.0000
Pd 10.0436 -1.0146 8.7863